DFT (PBE-GGA) results for a relaxed structure of AlSnAsRh.

Unit cell a=3.050 b=4.370 c=12.038 alpha=90.00 beta=90.00 gamma=90.00
Space group Imm2 (No. 44)
Asymmetric unit:
Al: 0.000 0.000 0.000
Sn: 0.000 0.500 0.816
As: 0.000 0.500 0.111
Rh: 0.000 0.500 0.328

The value obtained for the total magnetic moment is 0.00 μB per formula unit. For the raw total energy, the calculation gives -20.85 eV/f.u. Its calculated volume is 160 Å³/cell.



DFT (PBE-GGA) results for a relaxed structure of AlSnAsRh.

Unit cell a=3.620 b=3.620 c=12.103 alpha=90.00 beta=90.00 gamma=90.00
Space group I4mm (No. 107)
Asymmetric unit:
Al: 0.000 0.000 0.000
Sn: 0.000 0.000 0.335
As: 0.000 0.000 0.580
Rh: 0.000 0.000 0.790

The value obtained for the total magnetic moment is 0.00 μB per formula unit. For the raw total energy, the calculation gives -20.79 eV/f.u. Its calculated volume is 159 Å³/cell.